Entry 1:
Computed, not measured: crystalline Ce6As5Cl at its relaxed geometry at the PBE level of DFT.

```
Ce6As5Cl
1.0
-6.0159 -3.2829 -2.4652
0.4825 -7.1742 1.1962
-2.4835 -2.8298 6.2389
As Ce Cl
5 6 1
Direct
0.5000 0.1655 0.6691
0.0000 0.6668 0.6663
0.5000 0.5000 0.0000
0.5000 0.8345 0.3309
0.0000 0.3332 0.3337
0.7471 0.0844 0.3377
0.2529 0.5779 0.3377
0.2529 0.9156 0.6623
0.7472 0.7464 0.0000
0.7471 0.4221 0.6623
0.2528 0.2536 0.0000
0.0000 0.0000 0.0000
```

Computed properties:
spin magnetization	5.2	μB per formula unit
D(E_F)	32.93	states/eV per cell
energy relative to the elements, uncorrected	-1.46	eV per atom
V	26.319	Å³/atom
space group	No. 12

***

Entry 2:
Computed, not measured: crystalline CeAsCl at its relaxed geometry at the PBE level of DFT.

```
CeAsCl
1.0
5.8292 0.0000 0.0000
0.0000 8.1389 0.7939
0.0000 -1.5903 5.9172
As Ce Cl
4 4 4
Direct
0.0213 0.3624 0.7177
0.4787 0.3624 0.2177
0.9787 0.6376 0.2823
0.5213 0.6376 0.7823
0.5156 0.2775 0.7004
0.9844 0.2775 0.2004
0.4844 0.7225 0.2996
0.0156 0.7225 0.7996
0.2430 0.9664 0.1063
0.7570 0.0336 0.8937
0.2570 0.9664 0.6063
0.7430 0.0336 0.3937
```

Computed properties:
spin magnetization	0.1	μB per formula unit
D(E_F)	5.33	states/eV per cell
energy relative to the elements, uncorrected	-1.42	eV per atom
energy above the most stable polymorph in this dataset	0	meV per atom
V	24.008	Å³/atom
space group	No. 14

***

Entry 3:
Computed, not measured: crystalline CeAsCl at its relaxed geometry at the PBE level of DFT.

```
CeAsCl
1.0
5.5853 0.0000 -0.0807
0.0000 5.1605 0.0000
-2.7260 0.0000 4.7767
Ce As Cl
2 2 2
Direct
0.7402 0.7500 0.4803
0.2598 0.2500 0.5197
0.0581 0.7500 0.1162
0.9419 0.2500 0.8838
0.6116 0.2500 0.2228
0.3884 0.7500 0.7772
```

Computed properties:
spin magnetization	0.9	μB per formula unit
D(E_F)	9.45	states/eV per cell
energy relative to the elements, uncorrected	-1.22	eV per atom
energy above the most stable polymorph in this dataset	203	meV per atom
V	22.757	Å³/atom
space group	No. 63

***

Entry 4:
Computed, not measured: crystalline Ce4AsCl5 at its relaxed geometry at the PBE level of DFT.

```
Ce4AsCl5
1.0
6.8644 0.0000 0.0000
0.0000 8.4488 0.0000
0.0000 0.0000 9.7738
Cl Ce As
10 8 2
Direct
0.1094 0.0000 0.5000
0.7498 0.2991 0.3041
0.2502 0.2009 0.1959
0.7498 0.7009 0.3041
0.2502 0.7991 0.1959
0.8906 0.5000 0.0000
0.2502 0.7991 0.8041
0.7498 0.2991 0.6959
0.7498 0.7009 0.6959
0.2502 0.2009 0.8041
0.5247 0.3351 0.0000
0.1034 0.5000 0.7436
0.4753 0.1649 0.5000
0.1034 0.5000 0.2564
0.5247 0.6649 0.0000
0.8966 0.0000 0.2436
0.8966 0.0000 0.7564
0.4753 0.8351 0.5000
0.3277 0.5000 0.5000
0.6723 0.0000 0.0000
```

Computed properties:
spin magnetization	4.0	μB per formula unit
D(E_F)	52.46	states/eV per cell
energy relative to the elements, uncorrected	-1.56	eV per atom
energy above the most stable polymorph in this dataset	221	meV per atom
V	28.342	Å³/atom
space group	No. 59